DFT (GGA-PBE) results for an optimized crystal structure of RbCu2SbI6.

Calculated values
E_form (uncorrected)	-442	meV/atom
total energy	-2.700	eV/atom
volume	398.91	Å³/f.u.
ρ	4.561	g/cm3

Lattice parameters (Å, degrees): 7.8233 10.1337 10.1337 91.70 85.45 85.45
Closest atoms and distances in Å follow each position.
Sites, in units of the cell vectors:
1 Rb 0.7500 0.0829 0.9171  6 I 3.59-3.68
2 Rb 0.2500 0.9171 0.0829  6 I 3.59-3.68
3 I 0.3816 0.5671 0.7153  2 Cu 2.61
4 I 0.6627 0.7397 0.9877  1 Cu 2.83, 1 Sb 3.09
5 I 0.6001 0.1631 0.6012  1 Cu 2.59
6 I 0.3999 0.8369 0.3988  1 Cu 2.59
7 I 0.1627 0.9877 0.7397  1 Cu 2.83, 1 Sb 3.09
8 I 0.1001 0.6012 0.1631  1 Cu 2.59
9 I 0.8816 0.7153 0.5671  2 Cu 2.61
10 I 0.6184 0.4329 0.2847  2 Cu 2.61
11 I 0.8373 0.0123 0.2603  1 Cu 2.83, 1 Sb 3.09
12 I 0.8999 0.3988 0.8369  1 Cu 2.59
13 I 0.3373 0.2603 0.0123  1 Cu 2.83, 1 Sb 3.09
14 I 0.1184 0.2847 0.4329  2 Cu 2.61
15 Cu 0.2932 0.4112 0.2536  4 I 2.59-2.83
16 Cu 0.7068 0.5888 0.7464  4 I 2.59-2.83
17 Cu 0.7932 0.2536 0.4112  4 I 2.59-2.83
18 Cu 0.2068 0.7464 0.5888  4 I 2.59-2.83
19 Sb 0.7500 0.7206 0.2794  6 I 3.04-3.17
20 Sb 0.2500 0.2794 0.7206  6 I 3.04-3.17


DFT (GGA-PBE) results for an optimized crystal structure of HoPbSe2.

Calculated values
E_form (uncorrected)	-1186	meV/atom
total energy	-5.000	eV/atom
volume	112.68	Å³/f.u.
ρ	7.811	g/cm3

Lattice parameters (Å, degrees): 3.9864 3.9864 8.5050 76.45 76.45 60.00
Closest atoms and distances in Å follow each position.
Sites, in units of the cell vectors:
1 Se 0.0677 0.0677 0.7970  3 Ho 2.84
2 Se 0.2649 0.2649 0.2053  3 Ho 2.85
3 Pb 0.5008 0.5008 0.4976  6 Se 3.32-3.36
4 Ho 0.6666 0.6666 0.0000  6 Se 2.84-2.85


DFT (GGA-PBE) results for an optimized crystal structure of NaSr2PuO4.

Calculated values
E_form (uncorrected)	-2497	meV/atom
total energy	-7.353	eV/atom
volume	128.73	Å³/f.u.
ρ	6.530	g/cm3

Lattice parameters (Å, degrees): 3.6238 6.1016 6.1286 108.20 90.00 90.00
Closest atoms and distances in Å follow each position.
Sites, in units of the cell vectors:
1 O 0.5000 0.7661 0.7678  2 Pu 2.47, 1 Na 2.47, 3 Sr 2.49-2.64
2 O 0.5000 0.2339 0.2322  2 Pu 2.47, 1 Na 2.47, 3 Sr 2.49-2.64
3 O 0.0000 0.7743 0.2416  1 Pu 2.32, 2 Sr 2.51
4 O 0.0000 0.2257 0.7584  1 Pu 2.32, 2 Sr 2.51
5 Sr 0.5000 0.0000 0.5000  6 O 2.49-2.51
6 Sr 0.0000 0.5000 0.5000  6 O 2.64
7 Pu 0.0000 0.0000 0.0000  6 O 2.32-2.47
8 Na 0.5000 0.5000 0.0000  6 O 2.47-2.59


DFT (GGA-PBE) results for an optimized crystal structure of Dy12HgPd6.

Calculated values
total energy	-5.015	eV/atom
volume	546.89	Å³/f.u.
ρ	8.469	g/cm3
energy relative to the elements	-453.0	meV per atom
energy relative to the lowest polymorph listed for this composition	151.8	meV/atom

Lattice parameters (Å, degrees): 8.4651 8.4651 8.4651 103.44 103.44 103.44
Closest atoms and distances in Å follow each position.
Sites, in units of the cell vectors:
1 Dy 0.9292 0.0736 0.6697  2 Pd 2.74-2.80, 1 Hg 2.96
2 Dy 0.3303 0.0707 0.9264  2 Pd 2.74-2.80, 1 Hg 2.96
3 Dy 0.4107 0.5548 0.1685  4 Pd 2.87-3.07
4 Dy 0.5893 0.4452 0.8315  4 Pd 2.87-3.07
5 Dy 0.5548 0.1685 0.4107  4 Pd 2.87-3.07
6 Dy 0.0736 0.6697 0.9292  2 Pd 2.74-2.80, 1 Hg 2.96
7 Dy 0.9264 0.3303 0.0707  2 Pd 2.74-2.80, 1 Hg 2.96
8 Dy 0.1685 0.4107 0.5548  4 Pd 2.87-3.07
9 Dy 0.4452 0.8315 0.5893  4 Pd 2.87-3.07
10 Dy 0.0707 0.9264 0.3303  2 Pd 2.74-2.80, 1 Hg 2.96
11 Dy 0.8315 0.5893 0.4452  4 Pd 2.87-3.07
12 Dy 0.6697 0.9292 0.0736  2 Pd 2.74-2.80, 1 Hg 2.96
13 Pd 0.1451 0.6185 0.3177  5 Dy 2.74-2.96
14 Pd 0.3177 0.1451 0.6185  5 Dy 2.74-2.96
15 Pd 0.3815 0.6823 0.8549  5 Dy 2.74-2.96
16 Pd 0.6185 0.3177 0.1451  5 Dy 2.74-2.96
17 Pd 0.8549 0.3815 0.6823  5 Dy 2.74-2.96
18 Pd 0.6823 0.8549 0.3815  5 Dy 2.74-2.96
19 Hg 0.0000 0.0000 0.0000  6 Dy 2.96


DFT (GGA-PBE) results for an optimized crystal structure of ScAl2TePt.

Calculated values
E_form (uncorrected)	637	meV/atom
total energy	-3.963	eV/atom
volume	137.54	Å³/f.u.
ρ	5.090	g/cm3

Lattice parameters (Å, degrees): 5.3572 4.7924 5.3572 90.00 90.00 90.00
Closest atoms and distances in Å follow each position.
Sites, in units of the cell vectors:
1 Pt 0.0000 0.5000 0.0000  2 Sc 2.40
2 Al 0.5000 0.0000 0.0000  2 Sc 2.68
3 Al 0.0000 0.0000 0.5000  2 Sc 2.68
4 Sc 0.0000 0.0000 0.0000  2 Pt 2.40, 4 Al 2.68
5 Te 0.5000 0.5000 0.5000  8 Al 3.59, 4 Pt 3.79


DFT (GGA-PBE) results for an optimized crystal structure of EuLuGePd.

Calculated values
total energy	-6.836	eV/atom
volume	90.31	Å³/f.u.
ρ	9.304	g/cm3
energy relative to the elements	-684.7	meV per atom

Lattice parameters (Å, degrees): 5.0359 5.0359 5.0359 60.00 60.00 60.00
Closest atoms and distances in Å follow each position.
Sites, in units of the cell vectors:
1 Ge 0.2500 0.2500 0.2500  4 Lu 3.08, 4 Eu 3.08
2 Pd 0.7500 0.7500 0.7500  4 Eu 3.08, 4 Lu 3.08
3 Eu 0.5000 0.5000 0.5000  4 Ge 3.08, 4 Pd 3.08
4 Lu 0.0000 0.0000 0.0000  4 Ge 3.08, 4 Pd 3.08